Record 1
The following is a PBE calculation of crystalline SiHS2N at its relaxed geometry, from the Alexandria database. Values from VASP.

Structure (Quantum ESPRESSO input):
```
&SYSTEM
  ibrav = 0, nat = 5, ntyp = 4
/
ATOMIC_SPECIES
H 1.01 H.upf
S 32.06 S.upf
Si 28.09 Si.upf
N 14.01 N.upf
CELL_PARAMETERS angstrom
4.704 0.000 0.000
0.000 4.704 0.000
0.000 0.000 3.319
ATOMIC_POSITIONS crystal
H 0.500 0.500 0.500
S 0.000 0.500 0.000
S 0.500 0.000 0.000
Si 0.000 0.000 0.000
N 0.000 0.000 0.500
```

Summary:
Its space group is P4/mmm, No. 123. The value obtained for the uncorrected energy is -4.13 eV per atom. The energy above the most stable polymorph in this dataset comes out at 0.00 eV per formula unit. The crystal system is tetragonal. The value obtained for the density is 2.4 Mg/m³.

---

Record 2
The following is a PBE calculation of crystalline K5Sr3I12 at its relaxed geometry, from the Alexandria database. Values from VASP.

Structure (Quantum ESPRESSO input):
```
&SYSTEM
  ibrav = 0, nat = 80, ntyp = 3
/
ATOMIC_SPECIES
Sr 87.62 Sr.upf
K 39.10 K.upf
I 126.90 I.upf
CELL_PARAMETERS angstrom
17.399 0.000 0.000
-5.800 16.404 0.000
-5.800 -8.202 14.206
ATOMIC_POSITIONS crystal
Sr 0.750 0.375 0.125
Sr 0.875 0.750 0.125
Sr 0.375 0.750 0.625
Sr 0.250 0.125 0.375
Sr 0.875 0.125 0.250
Sr 0.375 0.625 0.250
Sr 0.625 0.375 0.750
Sr 0.125 0.875 0.750
Sr 0.750 0.875 0.625
Sr 0.625 0.250 0.375
Sr 0.125 0.250 0.875
Sr 0.250 0.625 0.875
K 0.125 0.375 0.250
K 0.000 0.500 0.000
K 0.000 0.000 0.000
K 0.375 0.250 0.125
K 0.500 0.000 0.500
K 0.500 0.500 0.000
K 0.125 0.750 0.375
K 0.750 0.125 0.875
K 0.750 0.625 0.375
K 0.375 0.125 0.750
K 0.625 0.875 0.250
K 0.500 0.500 0.500
K 0.500 0.000 0.000
K 0.000 0.000 0.500
K 0.250 0.375 0.625
K 0.250 0.875 0.125
K 0.000 0.500 0.500
K 0.875 0.250 0.625
K 0.625 0.750 0.875
K 0.875 0.625 0.750
I 0.736 0.128 0.063
I 0.327 0.563 0.434
I 0.937 0.372 0.264
I 0.563 0.236 0.128
I 0.607 0.736 0.673
I 0.937 0.566 0.173
I 0.327 0.764 0.393
I 0.066 0.893 0.128
I 0.566 0.937 0.673
I 0.736 0.607 0.173
I 0.764 0.437 0.372
I 0.827 0.934 0.063
I 0.128 0.736 0.563
I 0.372 0.434 0.107
I 0.107 0.934 0.372
I 0.393 0.128 0.566
I 0.107 0.173 0.236
I 0.437 0.673 0.066
I 0.827 0.893 0.264
I 0.128 0.393 0.066
I 0.372 0.937 0.764
I 0.566 0.628 0.393
I 0.934 0.827 0.563
I 0.764 0.327 0.893
I 0.434 0.372 0.607
I 0.066 0.173 0.437
I 0.236 0.673 0.107
I 0.173 0.107 0.736
I 0.628 0.063 0.236
I 0.872 0.607 0.934
I 0.563 0.327 0.934
I 0.607 0.872 0.434
I 0.893 0.827 0.764
I 0.893 0.066 0.628
I 0.872 0.264 0.437
I 0.173 0.066 0.937
I 0.628 0.566 0.893
I 0.434 0.063 0.327
I 0.264 0.393 0.827
I 0.236 0.563 0.628
I 0.934 0.107 0.872
I 0.673 0.236 0.607
I 0.437 0.764 0.872
I 0.063 0.434 0.827
I 0.393 0.264 0.327
I 0.063 0.628 0.736
I 0.673 0.437 0.566
I 0.264 0.872 0.937
```

Summary:
The uncorrected formation energy comes out at -1.34 eV/atom. Its space group is Ia-3d, No. 230. The value obtained for the uncorrected energy is -2.80 eV per atom. The crystal system is cubic. The value obtained for the density is 3.2 Mg/m³.

---

Record 3
The following is a PBE calculation of crystalline Ce5Al2 at its relaxed geometry, from the Alexandria database. Values from VASP.

Structure (Quantum ESPRESSO input):
```
&SYSTEM
  ibrav = 0, nat = 7, ntyp = 2
/
ATOMIC_SPECIES
Ce 140.12 Ce.upf
Al 26.98 Al.upf
CELL_PARAMETERS angstrom
4.501 0.000 0.000
-2.251 5.151 -0.739
0.000 -0.112 7.303
ATOMIC_POSITIONS crystal
Ce 0.352 0.703 0.067
Ce 0.648 0.297 0.933
Ce 0.218 0.436 0.652
Ce 0.500 0.000 0.500
Ce 0.782 0.564 0.348
Al 0.066 0.132 0.207
Al 0.934 0.868 0.793
```

Summary:
For the formation energy, the calculation gives -0.180 eV per atom. Its space group is C2/m, No. 12. The value obtained for the uncorrected energy is -5.49 eV per atom. The crystal system is monoclinic. The value obtained for the density is 7.4 Mg/m³.

---

Record 4
The following is a PBE calculation of crystalline La2MgZnO at its relaxed geometry, from the Alexandria database. Values from VASP.

Structure (Quantum ESPRESSO input):
```
&SYSTEM
  ibrav = 0, nat = 5, ntyp = 4
/
ATOMIC_SPECIES
Zn 65.41 Zn.upf
Mg 24.30 Mg.upf
O 16.00 O.upf
La 138.91 La.upf
CELL_PARAMETERS angstrom
5.147 0.000 0.000
0.000 5.147 0.000
0.000 0.000 4.248
ATOMIC_POSITIONS crystal
Zn 0.500 0.500 0.500
Mg 0.000 0.000 0.500
O 0.000 0.000 0.000
La 0.000 0.500 0.000
La 0.500 0.000 0.000
```

Summary:
The uncorrected formation energy comes out at -1.17 eV/atom. Its space group is P4/mmm, No. 123. The value obtained for the uncorrected energy is -4.70 eV per atom. The crystal system is tetragonal. The value obtained for the density is 5.7 Mg/m³.

---

Record 5
The following is a PBE calculation of crystalline La4PrPb at its relaxed geometry, from the Alexandria database. Values from VASP.

Structure (Quantum ESPRESSO input):
```
&SYSTEM
  ibrav = 0, nat = 6, ntyp = 3
/
ATOMIC_SPECIES
La 138.91 La.upf
Pr 140.91 Pr.upf
Pb 207.20 Pb.upf
CELL_PARAMETERS angstrom
4.768 0.000 -1.617
0.000 5.030 0.000
0.222 0.000 8.493
ATOMIC_POSITIONS crystal
La 0.337 0.000 0.675
La 0.663 0.000 0.325
La 0.843 0.500 0.685
La 0.157 0.500 0.315
Pr 0.500 0.500 0.000
Pb 0.000 0.000 0.000
```

Summary:
For the formation energy, the calculation gives -0.210 eV per atom. Its space group is Cmmm, No. 65. The value obtained for the uncorrected energy is -4.91 eV per atom. The crystal system is orthorhombic. The value obtained for the density is 7.3 Mg/m³.

---

Record 6
The following is a PBE calculation of crystalline SrZrAl2 at its relaxed geometry, from the Alexandria database. Values from VASP.

Structure (Quantum ESPRESSO input):
```
&SYSTEM
  ibrav = 0, nat = 4, ntyp = 3
/
ATOMIC_SPECIES
Sr 87.62 Sr.upf
Al 26.98 Al.upf
Zr 91.22 Zr.upf
CELL_PARAMETERS angstrom
3.264 0.004 0.000
-0.004 3.264 0.000
0.000 0.000 8.801
ATOMIC_POSITIONS crystal
Sr 0.500 0.500 0.250
Al 0.000 0.000 0.968
Al 0.000 0.000 0.532
Zr 0.500 0.500 0.750
```

Summary:
For the formation energy, the calculation gives -0.177 eV per atom. Its space group is P4/mmm, No. 123. The value obtained for the uncorrected energy is -4.61 eV per atom. The energy above the most stable polymorph in this dataset comes out at 0.16 eV per formula unit. The crystal system is tetragonal. The value obtained for the density is 4.1 Mg/m³.

---

Record 7
The following is a PBE calculation of crystalline K2Mn2GeSe6 at its relaxed geometry, from the Alexandria database. Values from VASP.

Structure (Quantum ESPRESSO input):
```
&SYSTEM
  ibrav = 0, nat = 11, ntyp = 4
/
ATOMIC_SPECIES
K 39.10 K.upf
Mn 54.94 Mn.upf
Ge 72.64 Ge.upf
Se 78.96 Se.upf
CELL_PARAMETERS angstrom
6.512 -0.046 0.078
-3.258 5.638 0.078
-1.129 -1.941 7.776
ATOMIC_POSITIONS crystal
K 0.838 0.162 0.000
K 0.162 0.838 0.000
Mn 0.333 0.667 0.500
Mn 0.667 0.333 0.500
Ge 0.000 0.000 0.500
Se 0.703 0.703 0.680
Se 0.057 0.408 0.679
Se 0.297 0.297 0.320
Se 0.408 0.057 0.679
Se 0.943 0.592 0.321
Se 0.592 0.943 0.321
```

Summary:
The uncorrected formation energy comes out at -0.63 eV/atom. Its space group is C2/m, No. 12. The value obtained for the uncorrected energy is -4.82 eV per atom. The crystal system is monoclinic. The value obtained for the density is 4.3 Mg/m³.

---

Record 8
The following is a PBE calculation of crystalline Na6Hg3Pb at its relaxed geometry, from the Alexandria database. Values from VASP.

Structure (Quantum ESPRESSO input):
```
&SYSTEM
  ibrav = 0, nat = 20, ntyp = 3
/
ATOMIC_SPECIES
Na 22.99 Na.upf
Hg 200.59 Hg.upf
Pb 207.20 Pb.upf
CELL_PARAMETERS angstrom
5.078 0.000 0.000
0.000 9.813 -2.051
0.000 0.972 10.905
ATOMIC_POSITIONS crystal
Na 0.250 0.457 0.096
Na 0.750 0.543 0.904
Na 0.250 0.146 0.210
Na 0.750 0.854 0.790
Na 0.250 0.642 0.687
Na 0.750 0.358 0.313
Na 0.250 0.266 0.521
Na 0.750 0.734 0.479
Na 0.250 0.824 0.290
Na 0.750 0.176 0.710
Na 0.250 0.068 0.898
Na 0.750 0.932 0.102
Hg 0.250 0.536 0.390
Hg 0.750 0.464 0.610
Hg 0.250 0.363 0.808
Hg 0.750 0.637 0.192
Hg 0.250 0.757 0.985
Hg 0.750 0.243 0.015
Pb 0.250 0.954 0.588
Pb 0.750 0.046 0.412
```

Summary:
For the formation energy, the calculation gives -0.189 eV per atom. Its space group is P2_1/m, No. 11. The value obtained for the uncorrected energy is -1.44 eV per atom. The energy above the most stable polymorph in this dataset comes out at 0.00 eV per formula unit. The crystal system is monoclinic. The value obtained for the density is 5.7 Mg/m³.

---

Question: Among the records above, which one has the highest uncorrected energy?
Answer: Na6Hg3Pb

---

Question: What is the uncorrected energy in the fifth record?
Answer: -4.91 eV per atom

---

Question: uncorrected energy of number 8 (Na6Hg3Pb)?
Answer: -1.44 eV per atom

---

Question: Which of these has the highest uncorrected energy?
Answer: Na6Hg3Pb